Computed, not measured: a relaxed structure of TaAgW2 at the PBE level of DFT.

abc: 3.3313 3.3313 6.1020
angles: 90.00 90.00 90.00
Sites, in units of the cell vectors:
1 Ta 0.5000 0.5000 0.7500
2 W 0.0000 0.0000 0.5083
3 Ag 0.5000 0.5000 0.2500
4 W 0.0000 0.0000 0.9917

Properties
As for the energy: -9.66 eV/atom. As for the formation energy: 0.49 eV per atom. The value obtained for the relative energy among the computed polymorphs is 274 meV per atom.